No. 1
Computed, not measured: an optimized crystal structure of Tb2RhPb at the PBE level of DFT.

Geometry as CIF:
```
data_Tb2RhPb
_chemical_formula_sum 'Tb2 Rh1 Pb1'
_cell_length_a 4.9351
_cell_length_b 4.9351
_cell_length_c 3.9681
_cell_angle_alpha 90.00
_cell_angle_beta 90.00
_cell_angle_gamma 90.00
_symmetry_space_group_name_H-M 'P 1'
_symmetry_Int_Tables_number 1
_symmetry_space_group_name_Hall 'P 1'
loop_
_atom_site_label
_atom_site_fract_x
_atom_site_fract_y
_atom_site_fract_z
Tb1 0.0000 0.5000 0.0000
Tb2 0.5000 0.0000 0.0000
Rh1 0.0000 0.0000 0.5000
Pb1 0.5000 0.5000 0.5000
```

Properties
Its total magnetization is 0.000 μB/f.u. The offset from the most stable computed form is 14.1 kJ per mole of atoms. The value obtained for the formation energy is -2.12 eV per formula unit. The calculation puts the total energy at -22.44 eV per cell. The value obtained for the density of states at the Fermi level is 1.98 states/eV/f.u.

=====

No. 2
Computed, not measured: an optimized crystal structure of Tb2Rh3Pb at the PBE level of DFT.

Geometry as CIF:
```
data_Tb2Rh3Pb
_chemical_formula_sum 'Tb4 Rh6 Pb2'
_cell_length_a 7.3051
_cell_length_b 7.3051
_cell_length_c 6.7588
_cell_angle_alpha 103.62
_cell_angle_beta 103.62
_cell_angle_gamma 45.03
_symmetry_space_group_name_H-M 'P 1'
_symmetry_Int_Tables_number 1
_symmetry_space_group_name_Hall 'P 1'
loop_
_atom_site_label
_atom_site_fract_x
_atom_site_fract_y
_atom_site_fract_z
Tb1 0.1671 0.1813 0.0846
Tb2 0.1813 0.1671 0.5846
Tb3 0.8187 0.8329 0.4154
Tb4 0.8329 0.8187 0.9154
Rh1 0.1899 0.8101 0.2500
Rh2 0.3484 0.3603 0.4239
Rh3 0.3603 0.3484 0.9239
Rh4 0.6397 0.6516 0.0761
Rh5 0.6516 0.6397 0.5761
Rh6 0.8101 0.1899 0.7500
Pb1 0.3013 0.6987 0.7500
Pb2 0.6987 0.3013 0.2500
```

Properties
Its total magnetization is 0.000 μB/f.u. The offset from the most stable computed form is 17.3 kJ per mole of atoms. The value obtained for the formation energy is -2.76 eV per formula unit. The calculation puts the total energy at -75.56 eV per cell. The value obtained for the density of states at the Fermi level is 2.62 states/eV/f.u.

=====

No. 3
Computed, not measured: an optimized crystal structure of Tb12Rh6Pb at the PBE level of DFT.

Geometry as CIF:
```
data_Tb12Rh6Pb
_chemical_formula_sum 'Tb12 Rh6 Pb1'
_cell_length_a 8.6181
_cell_length_b 8.6181
_cell_length_c 8.6181
_cell_angle_alpha 109.47
_cell_angle_beta 109.47
_cell_angle_gamma 109.47
_symmetry_space_group_name_H-M 'P 1'
_symmetry_Int_Tables_number 1
_symmetry_space_group_name_Hall 'P 1'
loop_
_atom_site_label
_atom_site_fract_x
_atom_site_fract_y
_atom_site_fract_z
Tb1 0.1124 0.3023 0.8100
Tb2 0.1900 0.4923 0.3023
Tb3 0.1900 0.8876 0.6977
Tb4 0.3023 0.1900 0.4923
Tb5 0.3023 0.8100 0.1124
Tb6 0.4923 0.3023 0.1900
Tb7 0.5077 0.6977 0.8100
Tb8 0.6977 0.1900 0.8876
Tb9 0.6977 0.8100 0.5077
Tb10 0.8100 0.1124 0.3023
Tb11 0.8100 0.5077 0.6977
Tb12 0.8876 0.6977 0.1900
Rh1 0.1297 0.5000 0.6297
Rh2 0.3703 0.8703 0.5000
Rh3 0.5000 0.3703 0.8703
Rh4 0.5000 0.6297 0.1297
Rh5 0.6297 0.1297 0.5000
Rh6 0.8703 0.5000 0.3703
Pb1 0.0000 0.0000 0.0000
```

Properties
Its total magnetization is 0.000 μB/f.u. The value obtained for the formation energy is -11.63 eV per formula unit. The calculation puts the total energy at -115.01 eV per cell. The value obtained for the density of states at the Fermi level is 14.43 states/eV/f.u.

=====

No. 4
Computed, not measured: an optimized crystal structure of TbTmRhPb at the PBE level of DFT.

Geometry as CIF:
```
data_TbTmRhPb
_chemical_formula_sum 'Tb1 Tm1 Rh1 Pb1'
_cell_length_a 5.1252
_cell_length_b 5.1252
_cell_length_c 5.1252
_cell_angle_alpha 60.00
_cell_angle_beta 60.00
_cell_angle_gamma 60.00
_symmetry_space_group_name_H-M 'P 1'
_symmetry_Int_Tables_number 1
_symmetry_space_group_name_Hall 'P 1'
loop_
_atom_site_label
_atom_site_fract_x
_atom_site_fract_y
_atom_site_fract_z
Tb1 0.0000 0.0000 0.0000
Tm1 0.5000 0.5000 0.5000
Rh1 0.7500 0.7500 0.7500
Pb1 0.2500 0.2500 0.2500
```

Properties
Its total magnetization is 0.000 μB/f.u. The offset from the most stable computed form is 16.7 kJ per mole of atoms. The value obtained for the formation energy is -2.08 eV per formula unit. The calculation puts the total energy at -22.24 eV per cell. The value obtained for the density of states at the Fermi level is 3.19 states/eV/f.u.

=====

No. 5
Computed, not measured: an optimized crystal structure of TbTmRhPb at the PBE level of DFT.

Geometry as CIF:
```
data_TbTmRhPb
_chemical_formula_sum 'Tb1 Tm1 Rh1 Pb1'
_cell_length_a 3.4732
_cell_length_b 3.4732
_cell_length_c 7.9814
_cell_angle_alpha 90.00
_cell_angle_beta 90.00
_cell_angle_gamma 90.00
_symmetry_space_group_name_H-M 'P 1'
_symmetry_Int_Tables_number 1
_symmetry_space_group_name_Hall 'P 1'
loop_
_atom_site_label
_atom_site_fract_x
_atom_site_fract_y
_atom_site_fract_z
Tb1 0.0000 0.0000 0.0000
Tm1 0.0000 0.0000 0.5863
Rh1 0.5000 0.5000 0.7855
Pb1 0.5000 0.5000 0.2975
```

Properties
Its total magnetization is 0.000 μB/f.u. The offset from the most stable computed form is 0.0 kJ per mole of atoms. The value obtained for the formation energy is -2.77 eV per formula unit. The calculation puts the total energy at -22.93 eV per cell. The value obtained for the density of states at the Fermi level is 1.81 states/eV/f.u.

=====

No. 6
Computed, not measured: an optimized crystal structure of Tc2RhPb at the PBE level of DFT.

Geometry as CIF:
```
data_Tc2RhPb
_chemical_formula_sum 'Tc2 Rh1 Pb1'
_cell_length_a 3.8057
_cell_length_b 3.8057
_cell_length_c 4.5835
_cell_angle_alpha 90.00
_cell_angle_beta 90.00
_cell_angle_gamma 90.00
_symmetry_space_group_name_H-M 'P 1'
_symmetry_Int_Tables_number 1
_symmetry_space_group_name_Hall 'P 1'
loop_
_atom_site_label
_atom_site_fract_x
_atom_site_fract_y
_atom_site_fract_z
Tc1 0.0000 0.5000 0.0000
Tc2 0.5000 0.0000 0.0000
Rh1 0.0000 0.0000 0.5000
Pb1 0.5000 0.5000 0.5000
```

Properties
Its total magnetization is 0.013 μB/f.u. The value obtained for the formation energy is 1.94 eV per formula unit. The calculation puts the total energy at -29.85 eV per cell. The value obtained for the density of states at the Fermi level is 5.03 states/eV/f.u.

=====

No. 7
Computed, not measured: an optimized crystal structure of TcRh2Pb at the PBE level of DFT.

Geometry as CIF:
```
data_TcRh2Pb
_chemical_formula_sum 'Tc1 Rh2 Pb1'
_cell_length_a 9.2831
_cell_length_b 9.2831
_cell_length_c 9.2831
_cell_angle_alpha 18.20
_cell_angle_beta 18.20
_cell_angle_gamma 18.20
_symmetry_space_group_name_H-M 'P 1'
_symmetry_Int_Tables_number 1
_symmetry_space_group_name_Hall 'P 1'
loop_
_atom_site_label
_atom_site_fract_x
_atom_site_fract_y
_atom_site_fract_z
Tc1 0.0000 0.0000 0.0000
Rh1 0.2575 0.2575 0.2575
Rh2 0.7425 0.7425 0.7425
Pb1 0.5000 0.5000 0.5000
```

Properties
Its total magnetization is 0.000 μB/f.u. The value obtained for the formation energy is 1.27 eV per formula unit. The calculation puts the total energy at -27.51 eV per cell. The value obtained for the density of states at the Fermi level is 4.77 states/eV/f.u.

=====

No. 8
Computed, not measured: an optimized crystal structure of Tc2RhPb at the PBE level of DFT.

Geometry as CIF:
```
data_Tc2RhPb
_chemical_formula_sum 'Tc2 Rh1 Pb1'
_cell_length_a 5.0629
_cell_length_b 5.0629
_cell_length_c 5.0629
_cell_angle_alpha 134.22
_cell_angle_beta 134.22
_cell_angle_gamma 66.75
_symmetry_space_group_name_H-M 'P 1'
_symmetry_Int_Tables_number 1
_symmetry_space_group_name_Hall 'P 1'
loop_
_atom_site_label
_atom_site_fract_x
_atom_site_fract_y
_atom_site_fract_z
Tc1 0.2500 0.7500 0.5000
Tc2 0.7500 0.2500 0.5000
Rh1 0.0000 0.0000 0.0000
Pb1 0.5000 0.5000 0.0000
```

Properties
Its total magnetization is 0.021 μB/f.u. The value obtained for the formation energy is 1.70 eV per formula unit. The calculation puts the total energy at -30.09 eV per cell. The value obtained for the density of states at the Fermi level is 5.73 states/eV/f.u.

=====

No. 9
Computed, not measured: an optimized crystal structure of Tc2RhPb at the PBE level of DFT.

Geometry as CIF:
```
data_Tc2RhPb
_chemical_formula_sum 'Tc2 Rh1 Pb1'
_cell_length_a 4.9221
_cell_length_b 4.9221
_cell_length_c 4.9094
_cell_angle_alpha 100.31
_cell_angle_beta 100.31
_cell_angle_gamma 35.10
_symmetry_space_group_name_H-M 'P 1'
_symmetry_Int_Tables_number 1
_symmetry_space_group_name_Hall 'P 1'
loop_
_atom_site_label
_atom_site_fract_x
_atom_site_fract_y
_atom_site_fract_z
Tc1 0.2402 0.2402 0.2096
Tc2 0.7598 0.7598 0.7904
Rh1 0.5000 0.5000 0.0000
Pb1 0.0000 0.0000 0.5000
```

Properties
Its total magnetization is 0.000 μB/f.u. The value obtained for the formation energy is 1.54 eV per formula unit. The calculation puts the total energy at -30.25 eV per cell. The value obtained for the density of states at the Fermi level is 3.97 states/eV/f.u.

=====

No. 10
Computed, not measured: an optimized crystal structure of Tc2RhPb at the PBE level of DFT.

Geometry as CIF:
```
data_Tc2RhPb
_chemical_formula_sum 'Tc2 Rh1 Pb1'
_cell_length_a 2.9719
_cell_length_b 3.8195
_cell_length_c 5.9776
_cell_angle_alpha 90.00
_cell_angle_beta 92.59
_cell_angle_gamma 90.00
_symmetry_space_group_name_H-M 'P 1'
_symmetry_Int_Tables_number 1
_symmetry_space_group_name_Hall 'P 1'
loop_
_atom_site_label
_atom_site_fract_x
_atom_site_fract_y
_atom_site_fract_z
Tc1 0.0000 0.0000 0.0000
Tc2 0.4339 0.5000 0.1787
Rh1 0.4599 0.5000 0.7359
Pb1 0.9466 0.0000 0.4884
```

Properties
Its total magnetization is 0.000 μB/f.u. The value obtained for the formation energy is 1.33 eV per formula unit. The calculation puts the total energy at -30.46 eV per cell. The value obtained for the density of states at the Fermi level is 3.68 states/eV/f.u.